No. 1
Na2CaRhCl8 | GGA-PBE | relaxed

Unit cell a=6.386 b=6.217 c=8.029 alpha=89.99 beta=90.00 gamma=92.16
Site moments in Bohr magnetons follow the coordinates.
Positions (direct):
1 Ca 0.000 0.000 0.500  0.00
2 Cl 0.861 0.219 0.210  0.04
3 Cl 0.671 0.733 0.500  0.04
4 Cl 0.138 0.781 0.210  0.04
5 Cl 0.139 0.781 0.790  0.04
6 Cl 0.329 0.267 0.500  0.04
7 Cl 0.862 0.219 0.790  0.04
8 Cl 0.310 0.211 0.000  0.10
9 Cl 0.690 0.789 0.000  0.10
10 Na 0.500 0.500 0.750  0.00
11 Na 0.500 0.500 0.250  0.00
12 Rh 0.000 0.000 0.000  0.55

Properties
Formation energy from raw total energies (eV/f.u.): -16.02
Space group: P2/m
Final energy (eV per cell): -42.783

***

No. 2
Hf2Ni9Sb | GGA-PBE | relaxed

Unit cell a=3.732 b=3.732 c=11.170 alpha=90.00 beta=90.00 gamma=90.00
Positions (direct):
1 Ni 0.500 0.000 0.832
2 Ni 0.500 0.500 0.333
3 Ni 0.500 0.500 0.000
4 Ni 0.500 0.000 0.500
5 Ni 0.500 0.500 0.667
6 Ni 0.000 0.500 0.168
7 Ni 0.000 0.500 0.500
8 Ni 0.500 0.000 0.168
9 Ni 0.000 0.500 0.832
10 Sb 0.000 0.000 0.000
11 Hf 0.000 0.000 0.666
12 Hf 0.000 0.000 0.334

Properties
Formation energy from raw total energies (eV/f.u.): -4.76
Space group: P4/mmm
Final energy (eV per cell): -80.821

***

No. 3
Cs2GaAu | GGA-PBE | relaxed

Unit cell a=13.708 b=13.708 c=10.006 alpha=46.76 beta=46.76 gamma=90.00
Positions (direct):
1 Cs 0.875 0.058 0.750
2 Cs 0.808 0.125 0.250
3 Cs 0.942 0.625 0.250
4 Cs 0.375 0.192 0.750
5 Au 0.750 0.250 0.500
6 Au 0.000 0.000 0.000
7 Ga 0.500 0.500 0.000
8 Ga 0.250 0.750 0.500

Properties
E above lowest polymorph (meV per atom): 34.8
Energy relative to the elements (eV/f.u.): -0.59
Space group: I-42d
Final energy (eV per cell): -17.200

***

No. 4
LaMo2Os | GGA-PBE | relaxed

Unit cell a=5.528 b=5.528 c=2.847 alpha=90.00 beta=90.00 gamma=121.76
Positions (direct):
1 La 0.000 0.500 0.500
2 Os 0.500 0.000 0.500
3 Mo 0.000 0.000 0.000
4 Mo 0.500 0.500 0.000

Properties
E above lowest polymorph (meV per atom): 411.2
Energy relative to the elements (eV/f.u.): 3.06
Space group: Cmmm
Final energy (eV per cell): -34.760

***

No. 5
SrAg2Se | GGA-PBE | relaxed

Unit cell a=5.926 b=5.926 c=5.926 alpha=47.68 beta=47.68 gamma=47.68
Positions (direct):
1 Sr 0.750 0.750 0.750
2 Ag 0.964 0.964 0.964
3 Ag 0.536 0.536 0.536
4 Se 0.250 0.250 0.250

Properties
Formation energy from raw total energies (eV/f.u.): -1.17
Space group: R-3m
Final energy (eV per cell): -12.042

***

No. 6
TcAsPdBr2 | GGA-PBE | relaxed

Unit cell a=5.170 b=5.170 c=4.725 alpha=90.00 beta=90.00 gamma=90.00
Site moments in Bohr magnetons follow the coordinates.
Positions (direct):
1 Tc 0.000 0.000 0.000  1.26
2 As 0.000 0.000 0.500  -0.10
3 Br 0.500 0.000 0.000  0.04
4 Br 0.000 0.500 0.000  0.04
5 Pd 0.500 0.500 0.500  -0.10

Properties
E above lowest polymorph (meV per atom): 0.0
Formation energy from raw total energies (eV/f.u.): 3.11
Space group: P4/mmm
Final energy (eV per cell): -20.442

***

No. 7
MoI4 | GGA-PBE | relaxed

Unit cell a=6.997 b=8.385 c=7.394 alpha=90.00 beta=108.62 gamma=90.00
Site moments in Bohr magnetons follow the coordinates.
Positions (direct):
1 I 0.506 0.610 0.282  -0.02
2 I 0.994 0.610 0.718  -0.02
3 I 0.529 0.143 0.255  -0.01
4 I 0.971 0.143 0.745  -0.01
5 I 0.006 0.390 0.282  -0.02
6 I 0.029 0.857 0.255  -0.01
7 I 0.494 0.390 0.718  -0.02
8 I 0.471 0.857 0.745  -0.01
9 Mo 0.750 0.355 0.500  1.76
10 Mo 0.250 0.645 0.500  1.76

Properties
Formation energy from raw total energies (eV/f.u.): -0.65
Space group: P2/c
Final energy (eV per cell): -35.363

***

No. 8
LiLaW | GGA-PBE | relaxed

Unit cell a=7.901 b=7.901 c=7.901 alpha=159.06 beta=159.06 gamma=29.79
Positions (direct):
1 La 0.010 0.010 0.000
2 Li 0.313 0.313 0.000
3 W 0.677 0.677 0.000

Properties
E above lowest polymorph (meV per atom): 0.0
Energy relative to the elements (eV/f.u.): 1.99
Space group: I4mm
Final energy (eV per cell): -17.806

***

No. 9
InSeI | GGA-PBE | relaxed

Unit cell a=4.091 b=4.091 c=7.222 alpha=90.00 beta=90.00 gamma=120.00
Positions (direct):
1 I 0.000 0.000 0.084
2 Se 0.333 0.667 0.549
3 In 0.667 0.333 0.367

Properties
Formation energy from raw total energies (eV/f.u.): -1.48
Space group: P3m1
Final energy (eV per cell): -9.253